Record 1
TaGa2Si: optimized geometry, PBE-GGA.

Summary:
VASP energy: -5.53 eV/atom
Total magnetic moment: 0.000 μB per formula unit
Formation energy (no corrections): 117 kJ/mol of formula units
Space-group type: I-42d (122)

abc: 7.282 7.282 5.768
angles: 50.86 50.86 90.00
Fractional coordinates of all 8 atoms:
Ga1 0.602 0.125 0.250
Si1 0.250 0.750 0.500
Ga2 0.375 0.398 0.750
Ta1 0.750 0.250 0.500
Ta2 0.000 0.000 0.000
Si2 0.500 0.500 0.000
Ga3 0.148 0.625 0.250
Ga4 0.875 0.852 0.750

Record 2
AlTeW2: optimized geometry, PBE-GGA.

Summary:
VASP energy: -7.61 eV/atom
Total magnetic moment: 0.000 μB per formula unit
Energy above the most stable polymorph in this dataset: 1.166 eV per formula unit
Formation energy (no corrections): 225 kJ/mol of formula units
Space-group type: Imm2 (44)

abc: 5.264 5.264 5.264
angles: 141.69 128.69 65.81
Fractional coordinates of all 4 atoms:
Al1 0.512 0.512 0.000
W1 0.992 0.992 0.000
W2 0.752 0.252 0.500
Te1 0.243 0.743 0.500

Record 3
ReNi2AgN: optimized geometry, PBE-GGA.

Summary:
VASP energy: -6.79 eV/atom
Total magnetic moment: 0.096 μB per formula unit
Formation energy (no corrections): 119 kJ/mol of formula units
Space-group type: P4/mmm (123)

abc: 3.945 3.945 3.940
angles: 90.00 90.00 90.00
Fractional coordinates of all 5 atoms:
Ni1 0.500 0.000 0.000
N1 0.000 0.000 0.000
Ag1 0.500 0.500 0.500
Ni2 0.000 0.500 0.000
Re1 0.000 0.000 0.500

Record 4
KNdHgPb: optimized geometry, PBE-GGA.

Summary:
VASP energy: -2.74 eV/atom
Total magnetic moment: 0.000 μB per formula unit
ΔE_f: -105 kJ/mol of formula units
Space-group type: F-43m (216)

abc: 5.634 5.634 5.634
angles: 60.00 60.00 60.00
Fractional coordinates of all 4 atoms:
K1 0.500 0.500 0.500
Hg1 0.750 0.750 0.750
Pb1 0.250 0.250 0.250
Nd1 0.000 0.000 0.000

Record 5
GaTcGe2Os: optimized geometry, PBE-GGA.

Summary:
VASP energy: -5.87 eV/atom
Total magnetic moment: 1.933 μB per formula unit
ΔE_f: 434 kJ/mol of formula units
Space-group type: P4/mmm (123)

abc: 4.717 4.971 4.717
angles: 90.00 90.00 90.00
Last column: magnetic moment on the atom in μB.
Fractional coordinates of all 5 atoms:
Ge1 0.000 0.000 0.500  -0.01
Tc1 0.000 0.500 0.000  1.85
Os1 0.000 0.000 0.000  -0.08
Ga1 0.500 0.500 0.500  -0.03
Ge2 0.500 0.000 0.000  0.01

Record 6
Ni5SnTe2: optimized geometry, PBE-GGA.

Summary:
VASP energy: -5.12 eV/atom
Total magnetic moment: 0.000 μB per formula unit
Formation energy (no corrections): -172 kJ/mol of formula units
Space-group type: I4/mmm (139)

abc: 3.782 3.782 10.218
angles: 100.66 100.66 90.00
Fractional coordinates of all 8 atoms:
Ni1 0.593 0.093 0.185
Ni2 0.907 0.407 0.815
Te1 0.824 0.824 0.648
Ni3 0.093 0.593 0.185
Ni4 0.000 0.000 0.000
Sn1 0.500 0.500 0.000
Ni5 0.407 0.907 0.815
Te2 0.176 0.176 0.352

Record 7
AcAg2Pd2: optimized geometry, PBE-GGA.

Summary:
VASP energy: -4.41 eV/atom
Total magnetic moment: 0.000 μB per formula unit
Energy above the most stable polymorph in this dataset: 0.000 eV per formula unit
ΔE_f: -181 kJ/mol of formula units
Space-group type: I4/mmm (139)

abc: 4.318 4.318 12.352
angles: 100.07 100.07 90.00
Fractional coordinates of all 10 atoms:
Ag1 0.000 0.500 0.000
Pd1 0.072 0.072 0.143
Pd2 0.928 0.928 0.857
Ac1 0.373 0.373 0.747
Ag2 0.818 0.818 0.637
Ag3 0.500 0.000 0.000
Ag4 0.182 0.182 0.363
Pd3 0.750 0.250 0.500
Pd4 0.250 0.750 0.500
Ac2 0.627 0.627 0.253

Record 8
Pb2WSe: optimized geometry, PBE-GGA.

Summary:
VASP energy: -5.02 eV/atom
Total magnetic moment: 2.125 μB per formula unit
Formation energy (no corrections): 363 kJ/mol of formula units
Space-group type: F-43m (216)

abc: 5.112 5.112 5.112
angles: 120.06 120.06 89.89
Last column: magnetic moment on the atom in μB.
Fractional coordinates of all 4 atoms:
Pb1 0.250 0.750 0.500  -0.02
Pb2 0.000 0.000 0.000  -0.03
Se1 0.500 0.500 0.000  -0.04
W1 0.750 0.250 0.500  1.69